ThCN | PBE | relaxed

Cell: 3.726 3.726 6.216 Å, 90.00 90.00 90.00°
Space group I4mm (No. 107)
Asymmetric unit:
Th 0.000 0.000 0.000
C 0.000 0.000 0.397
N 0.000 0.000 0.611

Calculated values
Energy above the most stable polymorph in this dataset: 265 meV per atom
DFT total energy: -0.3308 Ha/atom
Energy relative to the elements, uncorrected: -677 meV/atom

***

Fe2Te | PBE | relaxed

Cell: 3.322 5.358 11.057 Å, 90.00 90.00 90.00°
Space group Immm (No. 71)
Asymmetric unit:
Fe 0.000 0.000 0.121
Fe 0.000 0.255 0.500
Te 0.000 0.500 0.167

Calculated values
DFT total energy: -0.2382 Ha/atom
Energy relative to the elements, uncorrected: 208 meV/atom

***

Which value of energy relative to the elements, uncorrected does entry 1 give?
-677 meV/atom